Entry 1:
The following is a GGA-PBE calculation of KRe2Hg after structural relaxation, from Alexandria via LeMat-Bulk.

Properties
- E: -0.385 Ry per atom
- Space-group type: P4/mmm, No. 123

abc: 2.716 2.716 10.615
angles: 90.00 90.00 90.00
Fractional positions:
K  0.000  0.000  0.000
Re  0.500  0.500  0.277
Re  0.500  0.500  0.723
Hg  0.000  0.000  0.500

Entry 2:
The following is a GGA-PBE calculation of K4ReHg after structural relaxation, from Alexandria via LeMat-Bulk.

Properties
- E: -0.123 Ry per atom
- Space-group type: F-43m, No. 216

abc: 7.171 7.171 7.171
angles: 60.00 60.00 60.00
Fractional positions:
K  0.125  0.125  0.125
K  0.125  0.125  0.626
K  0.125  0.626  0.125
K  0.626  0.125  0.125
Re  0.750  0.750  0.750
Hg  0.500  0.500  0.500

Entry 3:
The following is a GGA-PBE calculation of KReHg after structural relaxation, from Alexandria via LeMat-Bulk.

Properties
- Space-group type: P-6m2, No. 187
- Polymorph energy (0 for the lowest one): 263.5 meV/atom

abc: 5.319 5.319 2.746
angles: 90.00 90.00 120.00
Fractional positions:
K  0.000  0.000  0.000
Re  0.667  0.333  0.500
Hg  0.333  0.667  0.500

Entry 4:
The following is a GGA-PBE calculation of K3ReHg after structural relaxation, from Alexandria via LeMat-Bulk.

Properties
- Space-group type: Pm-3m, No. 221
- Polymorph energy (0 for the lowest one): 0.0 meV/atom

abc: 6.391 6.391 6.391
angles: 90.00 90.00 90.00
Fractional positions:
K  0.000  0.000  0.500
K  0.000  0.500  0.000
K  0.500  0.000  0.000
Re  0.000  0.000  0.000
Hg  0.500  0.500  0.500

Theoretical density for the records above, in order: 12.98, 3.46, 10.51, 3.21 g cm⁻³